[1]
Computed, not measured: an optimized crystal structure of HgPd2Pt3 at the PBE level of DFT.

a = 3.960 Å, b = 9.129 Å, c = 6.335 Å
α = 114.39°, β = 108.21°, γ = 90.00°
Element x y z (fractional)
Pt: 0.378 0.380 0.756
Pt: 0.957 0.620 0.913
Pd: 0.460 0.133 0.921
Pt: 0.622 0.620 0.244
Pd: 0.204 0.868 0.408
Pt: 0.290 0.620 0.579
Hg: 0.129 0.124 0.258
Pt: 0.710 0.380 0.421
Pd: 0.796 0.132 0.592
Pt: 0.043 0.380 0.087
Pd: 0.540 0.867 0.079
Hg: 0.871 0.876 0.742

ΔH_f (0 K)	-0.043	eV/atom
M_tot	0.0	μB/f.u.



[2]
Computed, not measured: an optimized crystal structure of ZrReHRh2 at the PBE level of DFT.

a = 4.011 Å, b = 4.011 Å, c = 4.080 Å
α = 90.00°, β = 90.00°, γ = 90.00°
Element x y z (fractional)
H: 0.000 0.000 0.000
Rh: 0.500 0.000 0.000
Rh: 0.000 0.500 0.000
Re: 0.000 0.000 0.500
Zr: 0.500 0.500 0.500

M_tot	0.0	μB/f.u.
distance to the lowest polymorph of the same formula	0.0	meV per atom



[3]
Computed, not measured: an optimized crystal structure of Cs2RbHg at the PBE level of DFT.

a = 12.492 Å, b = 12.492 Å, c = 9.713 Å
α = 49.98°, β = 49.98°, γ = 90.00°
Element x y z (fractional)
Cs: 0.719 0.125 0.250
Cs: 0.031 0.625 0.250
Hg: 0.750 0.250 0.500
Rb: 0.500 0.500 0.000
Rb: 0.250 0.750 0.500
Cs: 0.375 0.281 0.750
Cs: 0.875 0.969 0.750
Hg: 0.000 0.000 0.000

ΔH_f (0 K)	-0.069	eV/atom
M_tot	0.0	μB/f.u.
distance to the lowest polymorph of the same formula	54.3	meV per atom



[4]
Computed, not measured: an optimized crystal structure of Ca2SiNi at the PBE level of DFT.

a = 4.741 Å, b = 4.741 Å, c = 4.741 Å
α = 120.01°, β = 120.01°, γ = 89.98°
Element x y z (fractional)
Ca: 0.000 0.000 0.000
Ni: 0.500 0.500 0.000
Si: 0.750 0.250 0.500
Ca: 0.250 0.750 0.500

M_tot	0.0	μB/f.u.
formation energy without anion corrections	-0.11	eV per atom



[5]
Computed, not measured: an optimized crystal structure of CaTl2Si at the PBE level of DFT.

a = 5.915 Å, b = 5.915 Å, c = 5.915 Å
α = 134.77°, β = 134.77°, γ = 65.89°
Element x y z (fractional)
Tl: 0.500 0.500 0.000
Tl: 0.000 0.000 0.000
Si: 0.750 0.250 0.500
Ca: 0.250 0.750 0.500

M_tot	0.0	μB/f.u.
distance to the lowest polymorph of the same formula	34.5	meV per atom
formation energy without anion corrections	-0.02	eV per atom



[6]
Computed, not measured: an optimized crystal structure of AcYAlRh at the PBE level of DFT.

a = 5.229 Å, b = 5.229 Å, c = 5.229 Å
α = 60.00°, β = 60.00°, γ = 60.00°
Element x y z (fractional)
Ac: 0.250 0.250 0.250
Al: 0.500 0.500 0.500
Rh: 0.000 0.000 0.000
Y: 0.750 0.750 0.750

ΔH_f (0 K)	-0.360	eV/atom
M_tot	0.0	μB/f.u.



[7]
Computed, not measured: an optimized crystal structure of CrAu2Cl at the PBE level of DFT.

a = 8.131 Å, b = 8.131 Å, c = 6.294 Å
α = 49.76°, β = 49.76°, γ = 90.00°
Site moments in Bohr magnetons follow the coordinates.
Element x y z (fractional)
Cl: 0.250 0.750 0.500  -0.04
Au: 0.375 0.340 0.750  0.02
Au: 0.660 0.125 0.250  0.02
Cr: 0.750 0.250 0.500  3.59
Au: 0.090 0.625 0.250  0.02
Au: 0.875 0.910 0.750  0.02
Cr: 0.000 0.000 0.000  3.58
Cl: 0.500 0.500 0.000  -0.05

M_tot	3.9	μB/f.u.
distance to the lowest polymorph of the same formula	272.7	meV per atom
formation energy without anion corrections	0.21	eV per atom



[8]
Computed, not measured: an optimized crystal structure of AlZn2Fe at the PBE level of DFT.

a = 2.702 Å, b = 2.702 Å, c = 7.607 Å
α = 90.00°, β = 90.00°, γ = 89.97°
Site moments in Bohr magnetons follow the coordinates.
Element x y z (fractional)
Fe: 0.500 0.500 0.746  2.14
Zn: 0.000 0.000 0.983  -0.03
Zn: 0.500 0.500 0.249  0.01
Al: 0.000 0.000 0.521  -0.02

ΔH_f (0 K)	-0.024	eV/atom
M_tot	2.1	μB/f.u.



[9]
Computed, not measured: an optimized crystal structure of B2C at the PBE level of DFT.

a = 4.447 Å, b = 4.447 Å, c = 5.539 Å
α = 70.39°, β = 70.39°, γ = 58.74°
Element x y z (fractional)
B: 0.855 0.145 0.000
C: 0.591 0.739 0.649
B: 0.072 0.670 0.083
B: 0.841 0.159 0.500
B: 0.672 0.701 0.094
C: 0.261 0.409 0.351
C: 0.653 0.341 0.255
B: 0.281 0.014 0.505
C: 0.659 0.347 0.745
B: 0.986 0.719 0.495
B: 0.299 0.328 0.906
B: 0.330 0.928 0.917

ΔH_f (0 K)	0.432	eV/atom
M_tot	0.0	μB/f.u.
distance to the lowest polymorph of the same formula	246.5	meV per atom



[10]
Computed, not measured: an optimized crystal structure of Sr2AlGa3Au4 at the PBE level of DFT.

a = 4.519 Å, b = 4.519 Å, c = 10.753 Å
α = 90.00°, β = 90.00°, γ = 90.00°
Element x y z (fractional)
Ga: 0.500 0.000 0.871
Ga: 0.000 0.500 0.129
Sr: 0.500 0.000 0.249
Au: 0.500 0.500 0.000
Sr: 0.000 0.500 0.751
Au: 0.000 0.000 0.000
Al: 0.500 0.500 0.500
Au: 0.500 0.000 0.628
Ga: 0.000 0.000 0.500
Au: 0.000 0.500 0.372

ΔH_f (0 K)	-0.609	eV/atom
M_tot	0.0	μB/f.u.



[11]
Computed, not measured: an optimized crystal structure of Hf2ScZnIr4 at the PBE level of DFT.

a = 4.540 Å, b = 4.540 Å, c = 7.877 Å
α = 73.25°, β = 73.25°, γ = 60.00°
Element x y z (fractional)
Sc: 0.000 0.000 0.000
Ir: 0.877 0.877 0.370
Ir: 0.374 0.374 0.878
Hf: 0.754 0.754 0.738
Hf: 0.246 0.246 0.262
Ir: 0.123 0.123 0.630
Zn: 0.500 0.500 0.500
Ir: 0.626 0.626 0.122

ΔH_f (0 K)	-0.848	eV/atom
M_tot	0.0	μB/f.u.



[12]
Computed, not measured: an optimized crystal structure of KGa2Pd at the PBE level of DFT.

a = 4.423 Å, b = 4.423 Å, c = 6.698 Å
α = 70.72°, β = 70.72°, γ = 60.00°
Element x y z (fractional)
Pd: 0.674 0.674 0.978
Ga: 0.021 0.021 0.938
K: 0.495 0.495 0.514
Ga: 0.310 0.310 0.070

ΔH_f (0 K)	-0.347	eV/atom
M_tot	0.0	μB/f.u.